A relaxed structure of Pm4I6N, computed with GGA-PBE.

a = 8.500 Å, b = 10.008 Å, c = 10.008 Å
α = 120.00°, β = 90.00°, γ = 90.00°
Each line ends with the local moment (μB).
Sites, in units of the cell vectors:
Pm 0.499 0.333 0.667  0.37
Pm 0.999 0.667 0.333  0.37
Pm 0.818 0.590 0.795  0.18
Pm 0.818 0.205 0.410  0.18
Pm 0.818 0.205 0.795  0.18
Pm 0.318 0.410 0.205  0.18
Pm 0.318 0.795 0.590  0.18
Pm 0.318 0.795 0.205  0.18
I 0.451 0.728 0.864  0.00
I 0.451 0.136 0.272  0.00
I 0.451 0.136 0.864  0.00
I 0.951 0.272 0.136  0.00
I 0.951 0.864 0.728  0.00
I 0.951 0.864 0.136  0.00
I 0.635 0.943 0.472  0.00
I 0.635 0.528 0.057  0.00
I 0.635 0.528 0.472  0.00
I 0.135 0.057 0.528  0.00
I 0.135 0.472 0.943  0.00
I 0.135 0.472 0.528  0.00
N 0.780 0.333 0.667  -0.03
N 0.280 0.667 0.333  -0.03

Output
- uncorrected formation energy (eV per formula unit) = -13.09
- space-group type = No. 186